First-principles (PBE-GGA) data for a relaxed structure of V6CrGe5, as listed in Alexandria via LeMat-Bulk.

Values from the calculation:
Space group   Cmmm (65)
Formation energy from the elements   -118.1 meV/atom
VASP energy   -7.40 eV/atom

a b c (Å): 8.4399 4.2471 5.8075
angles (deg): 68.57 79.41 59.79
Atoms (fractional coordinates):
Ge (0.5000, 0.5000, 0.0000)
Ge (0.5000, 0.8217, 0.3565)
Ge (0.0000, 0.3569, 0.2863)
Ge (0.0000, 0.6431, 0.7137)
Ge (0.5000, 0.1783, 0.6435)
V (0.2237, 0.6095, 0.3336)
V (0.7763, 0.0568, 0.3336)
V (0.2237, 0.9432, 0.6664)
V (0.7763, 0.3905, 0.6664)
V (0.2798, 0.2203, 0.0000)
V (0.7202, 0.7797, 0.0000)
Cr (0.0000, 0.0000, 0.0000)

First-principles (PBE-GGA) data for a relaxed structure of AlCr2Re, as listed in Alexandria via LeMat-Bulk.

Values from the calculation:
Space group   Pnma (62)
Formation energy from the elements   114.7 meV/atom
VASP energy   -8.74 eV/atom

a b c (Å): 5.1414 8.0024 5.2224
angles (deg): 90.00 90.00 90.00
Atoms (fractional coordinates):
Re (0.2484, 0.7500, 0.5019)
Re (0.2516, 0.7500, 0.0019)
Re (0.7516, 0.2500, 0.4981)
Re (0.7484, 0.2500, 0.9981)
Cr (0.0488, 0.5051, 0.7500)
Cr (0.5488, 0.4949, 0.7500)
Cr (0.9512, 0.4949, 0.2500)
Cr (0.4512, 0.9949, 0.2500)
Cr (0.4512, 0.5051, 0.2500)
Cr (0.0488, 0.9949, 0.7500)
Cr (0.5488, 0.0051, 0.7500)
Cr (0.9512, 0.0051, 0.2500)
Al (0.2517, 0.2500, 0.5020)
Al (0.2483, 0.2500, 0.0020)
Al (0.7517, 0.7500, 0.9980)
Al (0.7483, 0.7500, 0.4980)

First-principles (PBE-GGA) data for a relaxed structure of Tb6AuSe3S2, as listed in Alexandria via LeMat-Bulk.

Values from the calculation:
Space group   C2/m (12)
VASP energy   -5.86 eV/atom

a b c (Å): 7.0274 7.0274 7.0607
angles (deg): 99.56 99.56 119.97
Atoms (fractional coordinates):
Se (0.5000, 0.5000, 0.5000)
Se (0.8342, 0.1658, 0.5000)
Se (0.1658, 0.8342, 0.5000)
Tb (0.0788, 0.4209, 0.2397)
Tb (0.9212, 0.5791, 0.7603)
Tb (0.2618, 0.2618, 0.7614)
Tb (0.7382, 0.7382, 0.2386)
Tb (0.5791, 0.9212, 0.7603)
Tb (0.4209, 0.0788, 0.2397)
S (0.3340, 0.6660, 0.0000)
S (0.6660, 0.3340, 0.0000)
Au (0.0000, 0.0000, 0.0000)

First-principles (PBE-GGA) data for a relaxed structure of TeAsSe2N, as listed in Alexandria via LeMat-Bulk.

Values from the calculation:
Space group   P4/mmm (123)
VASP energy   -3.54 eV/atom

a b c (Å): 5.3992 5.3992 3.9124
angles (deg): 90.00 90.00 90.00
Atoms (fractional coordinates):
Te (0.0000, 0.0000, 0.0000)
As (0.5000, 0.5000, 0.5000)
Se (0.5000, 0.0000, 0.0000)
Se (0.0000, 0.5000, 0.0000)
N (0.0000, 0.0000, 0.5000)

First-principles (PBE-GGA) data for a relaxed structure of Nb4TlP2, as listed in Alexandria via LeMat-Bulk.

Values from the calculation:
Space group   I4/mmm (139)
Formation energy from the elements   1162.8 meV/atom
VASP energy   -6.48 eV/atom

a b c (Å): 5.0381 5.0381 7.2124
angles (deg): 69.56 69.56 90.00
Atoms (fractional coordinates):
P (0.4106, 0.4106, 0.1789)
P (0.5894, 0.5894, 0.8211)
Tl (0.0000, 0.0000, 0.0000)
Nb (0.0000, 0.5000, 0.0000)
Nb (0.5000, 0.0000, 0.0000)
Nb (0.2265, 0.2265, 0.5470)
Nb (0.7735, 0.7735, 0.4530)

First-principles (PBE-GGA) data for a relaxed structure of MgP4, as listed in Alexandria via LeMat-Bulk.

Values from the calculation:
Space group   Im-3m (229)
Formation energy from the elements   527.9 meV/atom
VASP energy   -4.12 eV/atom

a b c (Å): 4.9228 4.9228 4.9228
angles (deg): 109.47 109.47 109.47
Atoms (fractional coordinates):
P (0.5000, 0.5000, 0.5000)
P (0.5000, 0.0000, 0.0000)
P (0.0000, 0.5000, 0.0000)
P (0.0000, 0.0000, 0.5000)
Mg (0.0000, 0.0000, 0.0000)

| no. | N(E_F) (states/eV/f.u.) |
| --- | --- |
| 1 | 11.71 |
| 2 | 4.06 |
| 3 | 4.94 |
| 4 | 4.03 |
| 5 | 8.79 |
| 6 | 2.61 |